No. 1
This record from Alexandria describes a relaxed structure of TlPtRh2S. The functional is PBE.

## Properties
Formation energy without anion corrections in eV/atom: 0.5048
Spin magnetization in μB/f.u.: 0.00

Cell lengths 4.287, 4.287, 5.419 Å; angles 90.00, 90.00, 90.00 degrees
Space group P4/mmm (No. 123)
Unique sites:
Tl1 0.000 0.000 0.000 x1
Pt1 0.500 0.500 0.000 x1
Rh1 0.000 0.500 0.500 x2
S1 0.000 0.000 0.500 x1

---

No. 2
This record from Alexandria describes a relaxed structure of Tl4PtRh3S8. The functional is PBE.

## Properties
Formation energy without anion corrections in eV/atom: -0.3637
Spin magnetization in μB/f.u.: 0.00

Cell lengths 12.611, 7.279, 8.549 Å; angles 90.00, 119.92, 90.00 degrees
Space group C2/m (No. 12)
Unique sites:
Tl1 0.000 0.000 0.000 x2
Tl2 0.000 0.500 0.000 x2
Tl3 0.250 0.250 0.000 x4
Pt1 0.000 0.000 0.500 x2
Rh1 0.000 0.500 0.500 x2
Rh2 0.250 0.250 0.500 x4
S1 0.030 0.252 0.341 x8
S2 0.221 0.500 0.662 x4
S3 0.222 0.000 0.659 x4